[1]
MgInF2: optimized geometry, GGA-PBE.

Results
**Space-group type**: No. 122
**Formation energy (no corrections)**: -2.25 eV/atom
**ΔE to the lowest computed polymorph**: 0.222 eV/atom

Cell: 6.112 6.112 6.201 Å, 60.47 60.47 90.00°
Fractional coordinates of all 8 atoms:
Mg  0.500  0.500  0.000
Mg  0.250  0.750  0.500
F  0.377  0.125  0.250
F  0.373  0.625  0.250
F  0.375  0.623  0.750
F  0.875  0.627  0.750
In  0.000  0.000  0.000
In  0.750  0.250  0.500

***

[2]
ZnIrN2O: optimized geometry, GGA-PBE.

Results
**Space-group type**: No. 123
**Formation energy (no corrections)**: 1.81 eV/atom

Cell: 3.800 3.800 3.789 Å, 90.00 90.00 90.00°
Fractional coordinates of all 5 atoms:
Zn  0.000  0.000  0.000
Ir  0.500  0.500  0.500
O  0.000  0.000  0.500
N  0.000  0.500  0.000
N  0.500  0.000  0.000

***

[3]
IrAu2Cl: optimized geometry, GGA-PBE.

Results
**Space-group type**: No. 71
**Formation energy (no corrections)**: 0.49 eV/atom
**ΔE to the lowest computed polymorph**: 0.142 eV/atom

Cell: 6.826 6.826 4.254 Å, 71.87 71.87 23.76°
Fractional coordinates of all 4 atoms:
Ir  0.250  0.250  0.250
Au  0.945  0.945  0.055
Au  0.555  0.555  0.445
Cl  0.750  0.750  0.750

***

[4]
DyZnC: optimized geometry, GGA-PBE.

Results
**Space-group type**: No. 139
**Energy relative to the elements**: -0.02 eV/atom

Cell: 3.617 3.617 9.124 Å, 101.43 101.43 90.00°
Fractional coordinates of all 6 atoms:
Zn  0.067  0.067  0.134
Zn  0.933  0.933  0.866
Dy  0.682  0.682  0.365
Dy  0.318  0.318  0.635
C  0.820  0.820  0.641
C  0.180  0.180  0.359

***

Across the entries above, D(E_F) takes the values 0.555; 0.916; 0.748; 0.570 states/eV per atom, respectively.
Across the entries above, calculated volume takes the values 166.15; 54.71; 75.72; 114.57 Å³ per cell, respectively.